(1)
A relaxed structure of ZrNi. Source: Alexandria, functional PBE.

POSCAR file:
```
ZrNi
1.0
5.179 0.000 0.000
0.000 5.179 0.000
0.000 0.000 5.179
Zr Ni
4 4
Cartesian
0.352 0.352 0.352
2.238 4.827 2.941
2.941 2.238 4.827
4.827 2.941 2.238
0.371 2.960 4.809
2.219 2.219 2.219
2.960 4.809 0.371
4.809 0.371 2.960
```

The formation energy from the elements comes out at -4.8 kcal/mol of atoms.

---

(2)
A relaxed structure of Li3Hf2WN6. Source: Alexandria, functional PBE.

POSCAR file:
```
Li3Hf2WN6
1.0
2.729 -4.730 0.000
2.729 4.730 0.000
-1.792 0.000 5.059
Li Hf W N
3 2 1 6
Cartesian
0.000 0.000 0.000
2.729 1.502 0.000
2.729 -1.502 0.000
1.832 3.151 2.530
1.832 -3.151 2.530
1.832 0.000 2.530
0.967 1.499 1.413
0.100 0.000 3.646
0.967 -1.499 1.413
2.698 1.499 3.646
3.565 0.000 1.413
2.698 -1.499 3.646
```

For the uncorrected formation energy, the calculation gives -11.3 eV per formula unit.

---

(3)
A relaxed structure of Sm7Hg2Os2. Source: Alexandria, functional PBE.

POSCAR file:
```
Sm7Hg2Os2
1.0
4.105 -5.528 0.000
4.105 5.528 0.000
0.000 0.000 7.259
Sm Hg Os
7 2 2
Cartesian
0.000 0.000 0.000
2.053 2.764 1.820
2.053 2.764 5.439
2.053 -2.764 1.820
2.053 -2.764 5.439
4.105 0.000 1.749
4.105 0.000 5.510
1.479 0.000 3.630
6.732 0.000 3.630
4.105 2.304 0.000
4.105 -2.304 0.000
```

The formation energy from the elements comes out at -3.9 kcal/mol of atoms.